Record 1
First-principles (PBE) data for a relaxed Tb2ErHgN crystal, as listed in the Alexandria database.

Geometry as CIF:
```
data_Tb2ErHgN
_chemical_formula_sum 'Tb2 Er1 Hg1 N1'
_symmetry_space_group_name_H-M 'P 1'
_symmetry_Int_Tables_number 1
_cell_length_a 4.833
_cell_length_b 4.833
_cell_length_c 4.745
_cell_angle_alpha 90.00
_cell_angle_beta 90.00
_cell_angle_gamma 90.00
loop_
_symmetry_equiv_pos_as_xyz
'x,y,z'
loop_
_atom_site_label
_atom_site_type_symbol
_atom_site_fract_x
_atom_site_fract_y
_atom_site_fract_z
_atom_site_occupancy
Tb1 Tb 0.000 0.500 0.000 1
Tb2 Tb 0.500 0.000 0.000 1
Er1 Er 0.000 0.000 0.500 1
Hg1 Hg 0.500 0.500 0.500 1
N1 N 0.000 0.000 0.000 1
```

Properties
**Raw formation energy**: -0.92 eV per atom
**E**: -5.411 eV per atom
**DOS at the Fermi energy**: 3.2 states/eV/cell


Record 2
First-principles (PBE) data for a relaxed ErTm2HgN crystal, as listed in the Alexandria database.

Geometry as CIF:
```
data_ErTm2HgN
_chemical_formula_sum 'Er1 Tm2 Hg1 N1'
_symmetry_space_group_name_H-M 'P 1'
_symmetry_Int_Tables_number 1
_cell_length_a 4.717
_cell_length_b 4.717
_cell_length_c 4.744
_cell_angle_alpha 90.00
_cell_angle_beta 90.00
_cell_angle_gamma 90.00
loop_
_symmetry_equiv_pos_as_xyz
'x,y,z'
loop_
_atom_site_label
_atom_site_type_symbol
_atom_site_fract_x
_atom_site_fract_y
_atom_site_fract_z
_atom_site_occupancy
Er1 Er 0.000 0.000 0.000 1
Tm1 Tm 0.000 0.500 0.500 1
Tm2 Tm 0.500 0.000 0.500 1
Hg1 Hg 0.500 0.500 0.000 1
N1 N 0.000 0.000 0.500 1
```

Properties
**Raw formation energy**: -0.97 eV per atom
**E**: -5.393 eV per atom
**DOS at the Fermi energy**: 3.5 states/eV/cell


Record 3
First-principles (PBE) data for a relaxed Y2ErHgN crystal, as listed in the Alexandria database.

Geometry as CIF:
```
data_Y2ErHgN
_chemical_formula_sum 'Y2 Er1 Hg1 N1'
_symmetry_space_group_name_H-M 'P 1'
_symmetry_Int_Tables_number 1
_cell_length_a 4.811
_cell_length_b 4.811
_cell_length_c 4.752
_cell_angle_alpha 90.00
_cell_angle_beta 90.00
_cell_angle_gamma 90.00
loop_
_symmetry_equiv_pos_as_xyz
'x,y,z'
loop_
_atom_site_label
_atom_site_type_symbol
_atom_site_fract_x
_atom_site_fract_y
_atom_site_fract_z
_atom_site_occupancy
Y1 Y 0.000 0.500 0.000 1
Y2 Y 0.500 0.000 0.000 1
Er1 Er 0.000 0.000 0.500 1
Hg1 Hg 0.500 0.500 0.500 1
N1 N 0.000 0.000 0.000 1
```

Properties
**Raw formation energy**: -0.95 eV per atom
**E**: -6.169 eV per atom
**DOS at the Fermi energy**: 3.6 states/eV/cell


Record 4
First-principles (PBE) data for a relaxed Na3ErHg4 crystal, as listed in the Alexandria database.

Geometry as CIF:
```
data_Na3ErHg4
_chemical_formula_sum 'Na3 Er1 Hg4'
_symmetry_space_group_name_H-M 'P 1'
_symmetry_Int_Tables_number 1
_cell_length_a 3.677
_cell_length_b 3.677
_cell_length_c 15.195
_cell_angle_alpha 90.00
_cell_angle_beta 90.00
_cell_angle_gamma 90.00
loop_
_symmetry_equiv_pos_as_xyz
'x,y,z'
loop_
_atom_site_label
_atom_site_type_symbol
_atom_site_fract_x
_atom_site_fract_y
_atom_site_fract_z
_atom_site_occupancy
Na1 Na 0.000 0.000 0.000 1
Na2 Na 0.000 0.000 0.254 1
Na3 Na 0.000 0.000 0.746 1
Er1 Er 0.000 0.000 0.500 1
Hg1 Hg 0.500 0.500 0.124 1
Hg2 Hg 0.500 0.500 0.383 1
Hg3 Hg 0.500 0.500 0.617 1
Hg4 Hg 0.500 0.500 0.876 1
```

Properties
**Energy of formation from the pure elements**: -2.2 eV per formula unit
**E**: -1.493 eV per atom
**DOS at the Fermi energy**: 4.5 states/eV/cell